[1]
A plane-wave DFT calculation with PBE was carried out for a geometry-optimized SbTePCl2 structure.

Computed properties:
Symmetry ... P4/mmm, No. 123
Density of states at the Fermi level ... 0.394 states/eV per atom
E above lowest polymorph ... 95 kJ/mol of formula units
Raw formation energy ... 0.47 eV per atom
Total magnetic moment ... 0.28 μB per atom

abc: 5.1411 5.1411 5.5122
angles: 90.00 90.00 90.00
Sites, in units of the cell vectors:
Sb  0.0000  0.0000  0.0000
Te  0.5000  0.5000  0.5000
P  0.5000  0.5000  0.0000
Cl  0.0000  0.5000  0.5000
Cl  0.5000  0.0000  0.5000

---

[2]
A plane-wave DFT calculation with PBE was carried out for a geometry-optimized NiIr structure.

Computed properties:
Symmetry ... Imma, No. 74
Density of states at the Fermi level ... 1.561 states/eV per atom
Total magnetic moment ... 0.00 μB per atom

abc: 8.0125 8.0125 8.0125
angles: 160.95 160.94 27.07
Sites, in units of the cell vectors:
Ni  0.3158  0.0658  0.2500
Ni  0.6842  0.9342  0.7500
Ir  0.0717  0.3217  0.7500
Ir  0.9283  0.6783  0.2500

---

Number 1: V 29.1 Å³ per atom, total energy -2.800 eV per atom. Number 2: V 13.7 Å³ per atom, total energy -7.031 eV per atom.